## a
First-principles (GGA-PBE) data for an optimized crystal structure of HoTlO, as listed in Alexandria via LeMat-Bulk.

**Calculated volume**: 72.0 Å³/f.u.

a b c (Å): 3.7183 3.7183 6.0104
angles (deg): 90.00 90.00 120.00
Fractional coordinates of all 3 atoms:
1 Tl 0.0000 0.0000 0.0000
2 Ho 0.6667 0.3333 0.5001
3 O 0.3333 0.6667 0.4999

=====

## b
First-principles (GGA-PBE) data for an optimized crystal structure of HoTlO, as listed in Alexandria via LeMat-Bulk.

**Calculated volume**: 89.0 Å³/f.u.

a b c (Å): 7.9552 7.9552 7.9552
angles (deg): 60.00 60.00 60.00
Fractional coordinates of all 12 atoms:
1 Ho 0.4417 0.8528 0.8528
2 Ho 0.8528 0.8528 0.4417
3 Ho 0.8528 0.4417 0.8528
4 Ho 0.8528 0.8528 0.8528
5 O 0.6624 0.6624 0.0128
6 O 0.6624 0.0128 0.6624
7 O 0.0128 0.6624 0.6624
8 O 0.6624 0.6624 0.6624
9 Tl 0.1507 0.5478 0.1507
10 Tl 0.5478 0.1507 0.1507
11 Tl 0.1507 0.1507 0.5478
12 Tl 0.1507 0.1507 0.1507

=====

Q: Which of them is the most stable? A: a.

=====

## a
First-principles (GGA-PBE) data for an optimized crystal structure of Ho2TmO, as listed in Alexandria via LeMat-Bulk.

**Calculated volume**: 91.0 Å³/f.u.

a b c (Å): 3.5017 3.5017 8.8020
angles (deg): 78.53 78.53 60.00
Fractional coordinates of all 4 atoms:
1 Ho 0.7196 0.7196 0.8413
2 Ho 0.2804 0.2804 0.1587
3 Tm 0.5000 0.5000 0.5000
4 O 0.0000 0.0000 0.0000

=====

## b
First-principles (GGA-PBE) data for an optimized crystal structure of Ho2TmO, as listed in Alexandria via LeMat-Bulk.

**Calculated volume**: 86.4 Å³/f.u.

a b c (Å): 3.1745 3.1745 8.5713
angles (deg): 90.00 90.00 90.00
Fractional coordinates of all 4 atoms:
1 Tm 0.5000 0.5000 0.5000
2 Ho 0.0000 0.0000 0.8219
3 Ho 0.0000 0.0000 0.1781
4 O 0.5000 0.5000 0.0000

=====

Q: Which of them is the most stable? A: a.

=====

## a
First-principles (GGA-PBE) data for an optimized crystal structure of HoTm2O, as listed in Alexandria via LeMat-Bulk.

**Calculated volume**: 85.2 Å³/f.u.

a b c (Å): 3.1603 3.1603 8.5262
angles (deg): 90.00 90.00 90.00
Fractional coordinates of all 4 atoms:
1 Ho 0.5000 0.5000 0.5000
2 Tm 0.0000 0.0000 0.8206
3 Tm 0.0000 0.0000 0.1794
4 O 0.5000 0.5000 0.0000

=====

## b
First-principles (GGA-PBE) data for an optimized crystal structure of HoTm2O, as listed in Alexandria via LeMat-Bulk.

**Calculated volume**: 88.4 Å³/f.u.

a b c (Å): 3.4555 3.4555 8.7797
angles (deg): 78.65 78.65 60.00
Fractional coordinates of all 4 atoms:
1 Tm 0.7197 0.7197 0.8410
2 Tm 0.2803 0.2803 0.1590
3 O 0.0000 0.0000 0.0000
4 Ho 0.5000 0.5000 0.5000

=====

Q: Which of them is the most stable? A: b.

=====

## a
First-principles (GGA-PBE) data for an optimized crystal structure of Ho2UO6, as listed in Alexandria via LeMat-Bulk.

**Calculated volume**: 113.1 Å³/f.u.

a b c (Å): 3.8305 5.3339 6.4376
angles (deg): 114.47 107.31 90.00
Fractional coordinates of all 9 atoms:
1 O 0.8430 0.0850 0.6861
2 O 0.1570 0.9150 0.3139
3 O 0.8430 0.6011 0.6861
4 O 0.5000 0.7660 0.0000
5 O 0.5000 0.2340 0.0000
6 O 0.1570 0.3989 0.3139
7 Ho 0.3334 0.3333 0.6666
8 Ho 0.6666 0.6667 0.3334
9 U 0.0000 0.0000 0.0000

=====

## b
First-principles (GGA-PBE) data for an optimized crystal structure of Ho2UO6, as listed in Alexandria via LeMat-Bulk.

**Calculated volume**: 134.1 Å³/f.u.

a b c (Å): 5.0779 5.0779 10.4038
angles (deg): 90.00 90.00 90.00
Fractional coordinates of all 18 atoms:
1 O 0.1854 0.8146 0.1563
2 O 0.3146 0.3146 0.3437
3 O 0.6854 0.6854 0.3437
4 O 0.2933 0.2933 0.0000
5 O 0.8146 0.1854 0.8437
6 O 0.3146 0.3146 0.6563
7 O 0.1854 0.8146 0.8437
8 O 0.2067 0.7933 0.5000
9 O 0.7933 0.2067 0.5000
10 O 0.6854 0.6854 0.6563
11 O 0.7067 0.7067 0.0000
12 O 0.8146 0.1854 0.1563
13 U 0.0000 0.0000 0.0000
14 U 0.5000 0.5000 0.5000
15 Ho 0.0000 0.0000 0.3340
16 Ho 0.5000 0.5000 0.1660
17 Ho 0.5000 0.5000 0.8340
18 Ho 0.0000 0.0000 0.6660

=====

Q: Which of them is the most stable? A: a.